Record 1
VASP calculation (GGA-PBEsol) on a relaxed structure of TaMnCl2.

## Properties
- Size of the total moment: 3.5 Bohr magnetons per cell
- Total energy: -25.70 eV/cell
- Formation energy (no corrections): 157 meV per atom
- D(E_F): 1.92 states/eV/f.u.
- Distance to the lowest polymorph of the same formula: 464 meV/atom

Geometry as extended XYZ:
```
4
Lattice="-2.715 0.342 -1.310 2.535 -2.851 -3.296 -1.047 -2.602 4.190" Properties=species:S:1:pos:R:3 pbc="T T T"
Mn 0.000 0.000 0.000
Cl 1.268 -1.426 -1.648
Ta 0.744 -2.726 0.447
Cl -0.524 -1.301 2.095
```

***

Record 2
VASP calculation (GGA-PBEsol) on a relaxed structure of TaMn3Cl.

## Properties
- Size of the total moment: 8.5 Bohr magnetons per cell
- Total energy: -36.13 eV/cell
- Formation energy (no corrections): 1543 meV per atom
- D(E_F): 3.98 states/eV/f.u.

Geometry as extended XYZ:
```
5
Lattice="-1.747 -2.450 3.635 3.823 1.063 2.554 -2.145 3.891 1.592" Properties=species:S:1:pos:R:3 pbc="T T T"
Mn -0.874 -1.225 1.818
Mn 1.912 0.531 1.277
Ta 0.000 0.000 0.000
Mn -1.072 1.945 0.796
Cl -0.034 1.251 3.890
```

***

Record 3
VASP calculation (GGA-PBEsol) on a relaxed structure of TaMnCl2.

## Properties
- Size of the total moment: 3.5 Bohr magnetons per cell
- Total energy: -27.56 eV/cell
- Formation energy (no corrections): -307 meV per atom
- D(E_F): 1.86 states/eV/f.u.
- Distance to the lowest polymorph of the same formula: 0 meV/atom

Geometry as extended XYZ:
```
4
Lattice="2.965 0.000 0.000 0.000 2.965 0.000 0.000 0.000 8.058" Properties=species:S:1:pos:R:3 pbc="T T T"
Cl 0.000 0.000 7.587
Ta 1.482 1.482 5.954
Mn 0.000 0.000 4.038
Cl 1.482 1.482 2.566
```

***

Record 4
VASP calculation (GGA-PBEsol) on a relaxed structure of TaMnCl2.

## Properties
- Size of the total moment: 3.4 Bohr magnetons per cell
- Total energy: -24.34 eV/cell
- Formation energy (no corrections): 498 meV per atom
- D(E_F): 3.40 states/eV/f.u.
- Distance to the lowest polymorph of the same formula: 805 meV/atom

Geometry as extended XYZ:
```
4
Lattice="3.015 0.000 0.000 0.000 4.441 0.000 0.000 0.000 4.441" Properties=species:S:1:pos:R:3 pbc="T T T"
Cl 0.000 2.221 0.000
Mn 1.508 2.221 2.221
Ta 1.508 0.000 0.000
Cl 0.000 0.000 2.221
```

***

Record 5
VASP calculation (GGA-PBEsol) on a relaxed structure of TaMnCl2.

## Properties
- Size of the total moment: 3.2 Bohr magnetons per cell
- Total energy: -24.39 eV/cell
- Formation energy (no corrections): 483 meV per atom
- D(E_F): 5.27 states/eV/f.u.
- Distance to the lowest polymorph of the same formula: 790 meV/atom

Geometry as extended XYZ:
```
4
Lattice="4.323 0.000 0.000 2.162 3.744 0.000 2.162 1.248 3.530" Properties=species:S:1:pos:R:3 pbc="T T T"
Ta 4.323 2.496 1.765
Cl 2.162 1.248 0.882
Cl 6.485 3.744 2.647
Mn 0.000 0.000 0.000
```

***

Record 6
VASP calculation (GGA-PBEsol) on a relaxed structure of MnTcCl3.

## Properties
- Size of the total moment: 7.8 Bohr magnetons per cell
- Total energy: -25.55 eV/cell
- Formation energy (no corrections): 300 meV per atom
- D(E_F): 5.18 states/eV/f.u.

Geometry as extended XYZ:
```
5
Lattice="4.757 0.000 0.000 0.000 4.757 0.000 0.000 0.000 4.757" Properties=species:S:1:pos:R:3 pbc="T T T"
Mn 2.379 2.379 2.379
Cl 0.000 0.000 2.379
Tc 0.000 0.000 0.000
Cl 2.379 0.000 0.000
Cl 0.000 2.379 0.000
```

***

Record 7
VASP calculation (GGA-PBEsol) on a relaxed structure of MnTc2Cl.

## Properties
- Size of the total moment: 2.6 Bohr magnetons per cell
- Total energy: -30.69 eV/cell
- Formation energy (no corrections): 902 meV per atom
- D(E_F): 6.21 states/eV/f.u.

Geometry as extended XYZ:
```
4
Lattice="4.283 0.000 0.000 2.142 3.709 0.000 2.142 1.236 3.497" Properties=species:S:1:pos:R:3 pbc="T T T"
Tc 0.000 0.000 0.000
Tc 6.425 3.709 2.623
Cl 4.283 2.473 1.749
Mn 2.142 1.236 0.874
```

***

Record 8
VASP calculation (GGA-PBEsol) on a relaxed structure of Mn3TeCl.

## Properties
- Size of the total moment: 11.0 Bohr magnetons per cell
- Total energy: -31.36 eV/cell
- Formation energy (no corrections): 691 meV per atom
- D(E_F): 3.90 states/eV/f.u.

Geometry as extended XYZ:
```
5
Lattice="-2.794 -0.177 -3.451 2.655 -2.951 -1.998 -2.212 -3.318 1.962" Properties=species:S:1:pos:R:3 pbc="T T T"
Te -1.176 -3.223 -1.744
Cl 0.000 0.000 0.000
Mn -1.397 -0.089 -1.726
Mn 1.327 -1.476 -0.999
Mn -1.106 -1.659 0.981
```

***

Record 9
VASP calculation (GGA-PBEsol) on a relaxed structure of MnTeCl3.

## Properties
- Size of the total moment: 7.6 Bohr magnetons per cell
- Total energy: -20.57 eV/cell
- Formation energy (no corrections): -252 meV per atom
- D(E_F): 2.63 states/eV/f.u.

Geometry as extended XYZ:
```
5
Lattice="4.932 0.000 0.000 0.000 4.932 0.000 0.000 0.000 4.932" Properties=species:S:1:pos:R:3 pbc="T T T"
Mn 0.000 0.000 0.000
Cl 0.000 0.000 2.466
Cl 0.000 2.466 0.000
Cl 2.466 0.000 0.000
Te 2.466 2.466 2.466
```

***

Record 10
VASP calculation (GGA-PBEsol) on a relaxed structure of MnTe2Cl.

## Properties
- Size of the total moment: 3.9 Bohr magnetons per cell
- Total energy: -19.75 eV/cell
- Formation energy (no corrections): -231 meV per atom
- D(E_F): 1.53 states/eV/f.u.
- Distance to the lowest polymorph of the same formula: 0 meV/atom

Geometry as extended XYZ:
```
4
Lattice="-1.118 0.983 -3.334 -1.396 -6.680 -1.502 -3.273 5.539 2.732" Properties=species:S:1:pos:R:3 pbc="T T T"
Cl -2.523 0.651 1.038
Mn -3.299 2.558 -0.138
Te -2.549 -2.324 -1.830
Te -3.024 3.926 2.173
```

***

Record 11
VASP calculation (GGA-PBEsol) on a relaxed structure of MnTe2Cl.

## Properties
- Size of the total moment: 2.7 Bohr magnetons per cell
- Total energy: -19.73 eV/cell
- Formation energy (no corrections): -228 meV per atom
- D(E_F): 1.70 states/eV/f.u.
- Distance to the lowest polymorph of the same formula: 3 meV/atom

Geometry as extended XYZ:
```
4
Lattice="-0.933 -1.378 3.348 1.111 -3.431 0.986 6.425 1.315 4.420" Properties=species:S:1:pos:R:3 pbc="T T T"
Te 5.299 -2.461 6.727
Cl 3.301 -1.747 4.377
Te 1.303 -1.032 2.026
Mn 0.000 0.000 0.000
```

***

Record 12
VASP calculation (GGA-PBEsol) on a relaxed structure of MnTe2Cl.

## Properties
- Size of the total moment: 3.9 Bohr magnetons per cell
- Total energy: -19.17 eV/cell
- Formation energy (no corrections): -88 meV per atom
- D(E_F): 2.49 states/eV/f.u.
- Distance to the lowest polymorph of the same formula: 143 meV/atom

Geometry as extended XYZ:
```
4
Lattice="3.189 -0.198 0.000 -0.891 3.068 0.000 0.000 0.000 10.186" Properties=species:S:1:pos:R:3 pbc="T T T"
Cl 0.000 0.000 4.201
Mn 1.149 1.435 2.681
Te 0.000 0.000 0.713
Te 1.149 1.435 7.684
```

***

Record 13
VASP calculation (GGA-PBEsol) on a relaxed structure of Ti3MnCl.

## Properties
- Size of the total moment: 0.0 Bohr magnetons per cell
- Total energy: -34.52 eV/cell
- Formation energy (no corrections): 444 meV per atom
- D(E_F): 6.74 states/eV/f.u.

Geometry as extended XYZ:
```
5
Lattice="-2.778 1.452 3.228 -1.412 -4.217 0.682 3.245 -0.592 3.060" Properties=species:S:1:pos:R:3 pbc="T T T"
Ti -1.389 0.726 1.614
Ti -0.706 -2.109 0.341
Ti 1.623 -0.296 1.530
Mn 0.000 0.000 0.000
Cl -0.472 -1.679 3.484
```

***

Record 14
VASP calculation (GGA-PBEsol) on a relaxed structure of MnTlCl3.

## Properties
- Size of the total moment: 5.0 Bohr magnetons per cell
- Total energy: -23.16 eV/cell
- Formation energy (no corrections): -948 meV per atom
- Distance to the lowest polymorph of the same formula: 9 meV/atom

Geometry as extended XYZ:
```
5
Lattice="4.942 0.000 0.000 0.000 4.942 0.000 0.000 0.000 4.942" Properties=species:S:1:pos:R:3 pbc="T T T"
Tl 2.471 2.471 2.471
Mn 0.000 0.000 0.000
Cl 2.471 0.000 0.000
Cl 0.000 0.000 2.471
Cl 0.000 2.471 0.000
```